No. 1
The following is a DFT calculation (GGA-PBE) of a relaxed Na4Zn crystal.

Computed properties:
- energy above the most stable polymorph in this dataset (meV/atom) = 101
- SG = Pm-3m, No. 221
- raw total energy (Ry/atom) = -0.0851
- ΔE_f (eV/atom) = 0.15
- total moment (μB per formula unit) = 0.00

Cell lengths 5.739, 5.739, 5.739 Å; angles 90.00, 90.00, 90.00 degrees
Fractional positions:
Na 0.000 0.000 0.000
Na 0.000 0.500 0.500
Na 0.500 0.000 0.500
Na 0.500 0.500 0.000
Zn 0.500 0.500 0.500

***

No. 2
The following is a DFT calculation (GGA-PBE) of a relaxed BH2Ir crystal.

Computed properties:
- energy above the most stable polymorph in this dataset (meV/atom) = 572
- SG = Fm-3m, No. 225
- raw total energy (Ry/atom) = -0.3308
- total moment (μB per formula unit) = 0.00

Cell lengths 3.389, 3.389, 3.389 Å; angles 60.00, 60.00, 60.00 degrees
Fractional positions:
B 0.000 0.000 0.000
H 0.250 0.250 0.250
H 0.750 0.750 0.750
Ir 0.500 0.500 0.500

***

No. 3
The following is a DFT calculation (GGA-PBE) of a relaxed MgReAs crystal.

Computed properties:
- energy above the most stable polymorph in this dataset (meV/atom) = 378
- SG = Fmm2, No. 42
- raw total energy (Ry/atom) = -0.4331
- ΔE_f (eV/atom) = 0.34
- total moment (μB per formula unit) = 0.00

Cell lengths 7.064, 6.798, 2.948 Å; angles 82.82, 72.72, 24.46 degrees
Fractional positions:
Mg 0.000 0.000 0.000
Re 0.331 0.331 0.669
As 0.687 0.687 0.313

***

What did the second record say?
The following is a DFT calculation (GGA-PBE) of a relaxed BH2Ir crystal.

Computed properties:
- energy above the most stable polymorph in this dataset (meV/atom) = 572
- SG = Fm-3m, No. 225
- raw total energy (Ry/atom) = -0.3308
- total moment (μB per formula unit) = 0.00

Cell lengths 3.389, 3.389, 3.389 Å; angles 60.00, 60.00, 60.00 degrees
Fractional positions:
B 0.000 0.000 0.000
H 0.250 0.250 0.250
H 0.750 0.750 0.750
Ir 0.500 0.500 0.500

***

> Which value of raw total energy does entry 3 give?

-0.4331 Ry/atom

***

> The highest raw total energy belongs to which entry?

Na4Zn